No. 1
Computed, not measured: AlSi after structural relaxation at the PBE level of DFT.

Output
E (eV/cell): -17.4
Volume (Å³/atom): 17.8

Lattice parameters (Å, degrees): 5.5426 5.5426 5.5426 42.80 42.80 42.80
Closest atoms and distances in Å follow each position.
Fractional coordinates of all 4 atoms:
1 Si 0.2914 0.2914 0.2914  4 Al 2.60-2.61, 3 Si 2.66
2 Si 0.7086 0.7086 0.7086  4 Al 2.60-2.61, 3 Si 2.66
3 Al 0.1184 0.1184 0.1184  4 Si 2.60-2.61, 3 Al 2.75
4 Al 0.8816 0.8816 0.8816  4 Si 2.60-2.61, 3 Al 2.75



No. 2
Computed, not measured: AlSi2 after structural relaxation at the PBE level of DFT.

Output
E (eV/cell): -52.5
Volume (Å³/atom): 19.0

Lattice parameters (Å, degrees): 6.1077 6.1077 6.1077 90.00 90.00 90.00
Closest atoms and distances in Å follow each position.
Fractional coordinates of all 12 atoms:
1 Si 0.6133 0.6133 0.3867  1 Si 2.40, 3 Al 2.56
2 Si 0.3867 0.3867 0.6133  1 Si 2.40, 3 Al 2.56
3 Si 0.1133 0.8867 0.6133  1 Si 2.40, 3 Al 2.56
4 Si 0.8867 0.1133 0.3867  1 Si 2.40, 3 Al 2.56
5 Si 0.3867 0.1133 0.1133  1 Si 2.40, 3 Al 2.56
6 Si 0.6133 0.8867 0.8867  1 Si 2.40, 3 Al 2.56
7 Si 0.8867 0.3867 0.8867  1 Si 2.40, 3 Al 2.56
8 Si 0.1133 0.6133 0.1133  1 Si 2.40, 3 Al 2.56
9 Al 0.0000 0.0000 0.0000  6 Si 2.56
10 Al 0.5000 0.5000 0.0000  6 Si 2.56
11 Al 0.5000 0.0000 0.5000  6 Si 2.56
12 Al 0.0000 0.5000 0.5000  6 Si 2.56



No. 3
Computed, not measured: AlSi after structural relaxation at the PBE level of DFT.

Output
E (eV/cell): -51.9
Volume (Å³/atom): 22.0

Lattice parameters (Å, degrees): 2.8694 7.0704 13.0141 90.00 90.00 90.00
Closest atoms and distances in Å follow each position.
Fractional coordinates of all 12 atoms:
1 Al 0.0000 0.8673 0.6525  4 Si 2.46-2.58
2 Al 0.5000 0.1327 0.8475  4 Si 2.46-2.58
3 Al 0.5000 0.1327 0.1525  4 Si 2.46-2.58
4 Al 0.0000 0.8673 0.3475  4 Si 2.46-2.58
5 Al 0.0000 0.6342 0.0000  4 Si 2.46-2.54
6 Al 0.5000 0.3658 0.5000  4 Si 2.46-2.54
7 Si 0.0000 0.8297 0.8435  4 Al 2.46-2.58
8 Si 0.5000 0.1703 0.6565  4 Al 2.46-2.58
9 Si 0.5000 0.1703 0.3435  4 Al 2.46-2.58
10 Si 0.0000 0.8297 0.1565  4 Al 2.46-2.58
11 Si 0.0000 0.6620 0.5000  4 Al 2.46-2.54
12 Si 0.5000 0.3380 0.0000  4 Al 2.46-2.54



No. 4
Computed, not measured: AlSi after structural relaxation at the PBE level of DFT.

Output
E (eV/cell): -52.4
Volume (Å³/atom): 16.8

Lattice parameters (Å, degrees): 4.7120 4.7120 10.4954 90.00 90.00 120.00
Closest atoms and distances in Å follow each position.
Fractional coordinates of all 12 atoms:
1 Si 0.0000 0.0000 0.1139  1 Si 2.39, 1 Al 2.57
2 Si 0.0000 0.0000 0.8861  1 Si 2.39, 1 Al 2.57
3 Si 0.3333 0.6667 0.3587  1 Si 2.45, 4 Al 2.56-2.72
4 Si 0.3333 0.6667 0.1251  4 Si 2.45-2.72, 4 Al 2.61-2.72
5 Si 0.6667 0.3333 0.8749  4 Si 2.45-2.72, 4 Al 2.61-2.72
6 Si 0.6667 0.3333 0.6413  1 Si 2.45, 4 Al 2.56-2.72
7 Al 0.0000 0.0000 0.3586  4 Si 2.57-2.72, 3 Al 2.75
8 Al 0.0000 0.0000 0.6414  4 Si 2.57-2.72, 3 Al 2.75
9 Al 0.3333 0.6667 0.6023  4 Si 2.56-2.75, 3 Al 2.75
10 Al 0.3333 0.6667 0.8764  7 Si 2.61-2.72, 1 Al 2.88
11 Al 0.6667 0.3333 0.1236  7 Si 2.61-2.72, 1 Al 2.88
12 Al 0.6667 0.3333 0.3977  4 Si 2.56-2.75, 3 Al 2.75



No. 5
Computed, not measured: AlSi3 after structural relaxation at the PBE level of DFT.

Output
Offset from the most stable computed form (meV per atom): 30
Volume (Å³/atom): 15.9

Lattice parameters (Å, degrees): 5.2644 6.9729 6.9384 90.00 90.00 90.00
Closest atoms and distances in Å follow each position.
Fractional coordinates of all 16 atoms:
1 Si 0.1227 0.9715 0.7500  6 Si 2.48-2.69, 2 Al 2.62-2.65
2 Si 0.6227 0.5285 0.2500  6 Si 2.48-2.69, 2 Al 2.62-2.65
3 Si 0.3773 0.4715 0.7500  6 Si 2.48-2.69, 2 Al 2.62-2.65
4 Si 0.8773 0.0285 0.2500  6 Si 2.48-2.69, 2 Al 2.62-2.65
5 Si 0.6276 0.2657 0.0089  5 Si 2.48-2.69, 3 Al 2.63-2.77
6 Si 0.1276 0.2343 0.9911  5 Si 2.48-2.69, 3 Al 2.63-2.77
7 Si 0.8724 0.7657 0.4911  5 Si 2.48-2.69, 3 Al 2.63-2.77
8 Si 0.3724 0.7343 0.5089  5 Si 2.48-2.69, 3 Al 2.63-2.77
9 Si 0.3724 0.7343 0.9911  5 Si 2.48-2.69, 3 Al 2.63-2.77
10 Si 0.8724 0.7657 0.0089  5 Si 2.48-2.69, 3 Al 2.63-2.77
11 Si 0.1276 0.2343 0.5089  5 Si 2.48-2.69, 3 Al 2.63-2.77
12 Si 0.6276 0.2657 0.4911  5 Si 2.48-2.69, 3 Al 2.63-2.77
13 Al 0.6206 0.9895 0.7500  8 Si 2.62-2.77
14 Al 0.1206 0.5105 0.2500  8 Si 2.62-2.77
15 Al 0.8794 0.4895 0.7500  8 Si 2.62-2.77
16 Al 0.3794 0.0105 0.2500  8 Si 2.62-2.77



No. 6
Computed, not measured: Al3Si after structural relaxation at the PBE level of DFT.

Output
E (eV/cell): -16.1
Volume (Å³/atom): 16.2

Lattice parameters (Å, degrees): 3.3523 3.3523 5.7825 90.00 90.00 90.00
Closest atoms and distances in Å follow each position.
Fractional coordinates of all 4 atoms:
1 Si 0.5000 0.5000 0.7500  10 Al 2.74-2.89
2 Al 0.0000 0.0000 0.9884  4 Si 2.74, 6 Al 2.76-3.03
3 Al 0.5000 0.5000 0.2500  8 Al 2.81, 2 Si 2.89
4 Al 0.0000 0.0000 0.5116  4 Si 2.74, 6 Al 2.76-3.03